Entry 1:
PuIn2Hg8 | GGA-PBE | optimized geometry

Space group ... C2/m, No. 12
Energy ... -2.005 eV/atom
Formation energy ... 0.015 eV per atom
Polymorph energy (0 for the lowest one) ... 24 meV per atom
DOS(E_F) ... 14.959 states/eV per cell

Unit cell a=6.9850 b=6.9850 c=8.4952 alpha=113.97 beta=113.97 gamma=90.54
Closest atoms and distances in Å follow each position.
Atoms (fractional coordinates):
1 Pu 0.0000 0.0000 0.0000  8 Hg 3.15, 2 In 3.19
2 In 0.2299 0.2299 0.4600  8 Hg 3.08-3.18, 1 Pu 3.19
3 In 0.7701 0.7701 0.5400  8 Hg 3.08-3.18, 1 Pu 3.19
4 Hg 0.1613 0.6119 0.7719  2 In 3.11-3.17, 3 Hg 3.13-3.16, 1 Pu 3.15
5 Hg 0.1649 0.1649 0.7740  2 In 3.08-3.18, 3 Hg 3.13-3.14, 1 Pu 3.15
6 Hg 0.3881 0.8387 0.2281  2 In 3.11-3.17, 3 Hg 3.13-3.16, 1 Pu 3.15
7 Hg 0.3904 0.3904 0.2266  2 In 3.09-3.17, 3 Hg 3.13-3.14, 1 Pu 3.15
8 Hg 0.6096 0.6096 0.7734  2 In 3.09-3.17, 3 Hg 3.13-3.14, 1 Pu 3.15
9 Hg 0.6119 0.1613 0.7719  2 In 3.11-3.17, 3 Hg 3.13-3.16, 1 Pu 3.15
10 Hg 0.8351 0.8351 0.2260  2 In 3.08-3.18, 3 Hg 3.13-3.14, 1 Pu 3.15
11 Hg 0.8387 0.3881 0.2281  2 In 3.11-3.17, 3 Hg 3.13-3.16, 1 Pu 3.15

---

Entry 2:
La2NdThBi4 | GGA-PBE | optimized geometry

Space group ... P2/m, No. 10
Energy ... -5.624 eV/atom
Formation energy ... -0.929 eV per atom
DOS(E_F) ... 1.945 states/eV per cell

Unit cell a=8.0435 b=4.6523 c=8.0673 alpha=90.00 beta=109.42 gamma=90.00
Closest atoms and distances in Å follow each position.
Atoms (fractional coordinates):
1 La 0.0000 0.0000 0.0000  6 Bi 3.32
2 La 0.5000 0.5000 0.0000  6 Bi 3.31
3 Nd 0.0000 0.5000 0.5000  6 Bi 3.27
4 Th 0.5000 0.0000 0.5000  6 Bi 3.26
5 Bi 0.2496 0.0000 0.7449  1 Th 3.26, 2 Nd 3.27, 3 La 3.31-3.32
6 Bi 0.2526 0.5000 0.2555  2 Th 3.26, 1 Nd 3.27, 3 La 3.31-3.32
7 Bi 0.7474 0.5000 0.7445  2 Th 3.26, 1 Nd 3.27, 3 La 3.31-3.32
8 Bi 0.7504 0.0000 0.2551  1 Th 3.26, 2 Nd 3.27, 3 La 3.31-3.32

---

Entry 3:
LiAlPt | GGA-PBE | optimized geometry

Space group ... Cm, No. 8
Energy ... -4.441 eV/atom
Formation energy ... -0.542 eV per atom
Polymorph energy (0 for the lowest one) ... 266 meV per atom
DOS(E_F) ... 1.016 states/eV per cell

Unit cell a=4.0235 b=4.0235 c=4.1116 alpha=117.98 beta=117.98 gamma=63.05
Closest atoms and distances in Å follow each position.
Atoms (fractional coordinates):
1 Li 0.0000 0.0000 0.0000  4 Al 2.52-2.54, 1 Pt 2.82
2 Al 0.7425 0.7425 0.2668  4 Pt 2.49-2.55, 4 Li 2.52-2.54
3 Pt 0.4886 0.4886 0.5251  4 Al 2.49-2.55

---

Entry 4:
LiCaNi2 | GGA-PBE | optimized geometry

Space group ... I-42d, No. 122
Energy ... -3.621 eV/atom
Formation energy ... 0.248 eV per atom
Polymorph energy (0 for the lowest one) ... 296 meV per atom
DOS(E_F) ... 8.222 states/eV per cell

Unit cell a=8.7579 b=8.7579 c=8.7579 alpha=151.39 beta=151.39 gamma=40.90
Closest atoms and distances in Å follow each position.
Atoms (fractional coordinates):
1 Li 0.0000 0.0000 0.0000  4 Ni 2.34
2 Li 0.7500 0.2500 0.5000  4 Ni 2.34
3 Ca 0.2500 0.7500 0.5000  4 Ni 2.96, 4 Li 3.06
4 Ca 0.5000 0.5000 0.0000  4 Ni 2.96, 4 Li 3.06
5 Ni 0.3750 0.2002 0.3252  2 Ni 2.26, 2 Li 2.34
6 Ni 0.7998 0.1250 0.1748  2 Ni 2.26, 2 Li 2.34
7 Ni 0.8750 0.0498 0.6748  2 Ni 2.26, 2 Li 2.34
8 Ni 0.9502 0.6250 0.8252  2 Ni 2.26, 2 Li 2.34

---

Entry 5:
Cs4U3Te8Au | GGA-PBE | optimized geometry

Space group ... C2/m, No. 12
Energy ... -4.840 eV/atom
DOS(E_F) ... 16.433 states/eV per cell

Unit cell a=9.2368 b=9.2368 c=10.3510 alpha=116.75 beta=116.75 gamma=58.40
Closest atoms and distances in Å follow each position.
Atoms (fractional coordinates):
1 Cs 0.0000 0.0000 0.0000  6 Te 3.69-3.90
2 Cs 0.0000 0.5000 0.0000  6 Te 3.77-3.93
3 Cs 0.5000 0.0000 0.0000  6 Te 3.77-3.93
4 Cs 0.5000 0.5000 0.0000  6 Te 3.82-3.86
5 U 0.0000 0.0000 0.5000  6 Te 3.12-3.17
6 U 0.0000 0.5000 0.5000  6 Te 3.06-3.13
7 U 0.5000 0.0000 0.5000  6 Te 3.06-3.13
8 Te 0.2293 0.2293 0.6921  3 U 3.13-3.17
9 Te 0.2333 0.7188 0.6794  1 Au 3.02, 2 U 3.12
10 Te 0.2570 0.2570 0.3051  2 U 3.06, 1 Au 3.36
11 Te 0.2812 0.7667 0.3206  1 Au 3.02, 2 U 3.12
12 Te 0.7188 0.2333 0.6794  1 Au 3.02, 2 U 3.12
13 Te 0.7430 0.7430 0.6949  2 U 3.06, 1 Au 3.36
14 Te 0.7667 0.2812 0.3206  1 Au 3.02, 2 U 3.12
15 Te 0.7707 0.7707 0.3079  3 U 3.13-3.17
16 Au 0.5000 0.5000 0.5000  6 Te 3.02-3.36

---

Entry 6:
TmTh4Bi5 | GGA-PBE | optimized geometry

Space group ... I4/m, No. 87
Energy ... -5.949 eV/atom
Formation energy ... -0.593 eV per atom
DOS(E_F) ... 7.857 states/eV per cell

Unit cell a=7.9083 b=7.9083 c=7.9083 alpha=99.63 beta=99.63 gamma=131.73
Closest atoms and distances in Å follow each position.
Atoms (fractional coordinates):
1 Tm 0.0000 0.0000 0.0000  6 Bi 3.13-3.23
2 Th 0.1960 0.5952 0.7912  6 Bi 3.24-3.27
3 Th 0.4048 0.1960 0.6007  6 Bi 3.24-3.27
4 Th 0.5952 0.8040 0.3993  6 Bi 3.24-3.27
5 Th 0.8040 0.4048 0.2088  6 Bi 3.24-3.27
6 Bi 0.1005 0.2898 0.3903  1 Tm 3.13, 5 Th 3.24-3.27
7 Bi 0.2898 0.8995 0.1894  1 Tm 3.13, 5 Th 3.24-3.27
8 Bi 0.5000 0.5000 0.0000  2 Tm 3.23, 4 Th 3.25
9 Bi 0.7102 0.1005 0.8106  1 Tm 3.13, 5 Th 3.24-3.27
10 Bi 0.8995 0.7102 0.6097  1 Tm 3.13, 5 Th 3.24-3.27

---

Entry 7:
CrPdPt | GGA-PBE | optimized geometry

Space group ... P-6m2, No. 187
Energy ... -6.921 eV/atom
Formation energy ... 0.031 eV per atom
Polymorph energy (0 for the lowest one) ... 135 meV per atom
DOS(E_F) ... 5.058 states/eV per cell

Unit cell a=4.3578 b=4.3578 c=2.7520 alpha=90.00 beta=90.00 gamma=120.00
Closest atoms and distances in Å follow each position.
Atoms (fractional coordinates):
1 Cr 0.0000 0.0000 0.0000  3 Pd 2.52, 2 Cr 2.75
2 Pd 0.6667 0.3333 0.0000  3 Cr 2.52, 2 Pd 2.75
3 Pt 0.3333 0.6667 0.5000  2 Pt 2.75, 6 Cr 2.87, 6 Pd 2.87

---

Entry 8:
Ga2SnPb | GGA-PBE | optimized geometry

Space group ... I-42d, No. 122
Energy ... -3.238 eV/atom
Formation energy ... 0.203 eV per atom
Polymorph energy (0 for the lowest one) ... 155 meV per atom
DOS(E_F) ... 4.045 states/eV per cell

Unit cell a=8.4723 b=8.4723 c=8.4723 alpha=140.23 beta=140.23 gamma=57.50
Closest atoms and distances in Å follow each position.
Atoms (fractional coordinates):
1 Ga 0.1092 0.6250 0.9842  2 Sn 2.71, 2 Pb 2.81
2 Ga 0.3750 0.3592 0.4842  2 Sn 2.71, 2 Pb 2.81
3 Ga 0.6408 0.1250 0.0158  2 Sn 2.71, 2 Pb 2.81
4 Ga 0.8750 0.8908 0.5158  2 Sn 2.71, 2 Pb 2.81
5 Sn 0.0000 0.0000 0.0000  4 Ga 2.71
6 Sn 0.7500 0.2500 0.5000  4 Ga 2.71
7 Pb 0.2500 0.7500 0.5000  4 Ga 2.81
8 Pb 0.5000 0.5000 0.0000  4 Ga 2.81

---

Entry 9:
MgPa2TcN5 | GGA-PBE | optimized geometry

Space group ... Cmc2_1, No. 36
Energy ... -9.061 eV/atom
DOS(E_F) ... 4.871 states/eV per cell

Unit cell a=6.7803 b=6.7803 c=9.5492 alpha=90.00 beta=90.00 gamma=150.47
Closest atoms and distances in Å follow each position.
Atoms (fractional coordinates):
1 Mg 0.0339 0.9661 0.5000  4 N 1.97-2.21
2 Mg 0.9661 0.0339 0.0000  4 N 1.97-2.21
3 Pa 0.3608 0.6392 0.3143  8 N 2.32-2.58
4 Pa 0.3888 0.6112 0.7079  4 N 2.26-2.41
5 Pa 0.6112 0.3888 0.2079  4 N 2.26-2.41
6 Pa 0.6392 0.3608 0.8143  8 N 2.32-2.58
7 Tc 0.2926 0.7074 0.0249  6 N 2.08-2.29
8 Tc 0.7074 0.2926 0.5249  6 N 2.08-2.29
9 N 0.0056 0.9944 0.2913  1 Mg 2.03
10 N 0.1343 0.8657 0.0149  1 Tc 2.08, 1 Mg 2.21
11 N 0.1956 0.8044 0.4022  2 Tc 2.09, 1 Mg 2.32, 1 Pa 2.32
12 N 0.2173 0.7827 0.6812  3 Pa 2.26-2.38, 2 Tc 2.29
13 N 0.4461 0.5539 0.0962  2 Mg 1.97, 1 Tc 2.12
14 N 0.5539 0.4461 0.5962  2 Mg 1.97, 1 Tc 2.12
15 N 0.7827 0.2173 0.1812  3 Pa 2.26-2.38, 2 Tc 2.29
16 N 0.8044 0.1956 0.9022  2 Tc 2.09, 1 Mg 2.32, 1 Pa 2.32
17 N 0.8657 0.1343 0.5149  1 Tc 2.08, 1 Mg 2.21
18 N 0.9944 0.0056 0.7913  1 Mg 2.03

---

Entry 10:
Sr3Tl8Zn3 | GGA-PBE | optimized geometry

Space group ... Immm, No. 71
Energy ... -2.151 eV/atom
Formation energy ... -0.165 eV per atom
DOS(E_F) ... 5.549 states/eV per cell

Unit cell a=9.3277 b=9.3277 c=9.3277 alpha=148.66 beta=104.52 gamma=83.98
Closest atoms and distances in Å follow each position.
Atoms (fractional coordinates):
1 Sr 0.0000 0.0000 0.0000  12 Tl 3.52-3.88
2 Sr 0.2887 0.2887 0.0000  2 Zn 3.27, 4 Tl 3.58
3 Sr 0.7113 0.7113 0.0000  2 Zn 3.27, 4 Tl 3.58
4 Tl 0.0112 0.3682 0.6430  4 Tl 3.08-3.30, 1 Zn 3.19
5 Tl 0.1631 0.8652 0.2979  3 Zn 2.97-3.25, 3 Tl 3.08-3.30
6 Tl 0.2748 0.6318 0.6430  4 Tl 3.08-3.30, 1 Zn 3.19
7 Tl 0.4328 0.1348 0.2979  3 Zn 2.97-3.25, 3 Tl 3.08-3.30
8 Tl 0.5672 0.8652 0.7021  3 Zn 2.97-3.25, 3 Tl 3.08-3.30
9 Tl 0.7252 0.3682 0.3570  4 Tl 3.08-3.30, 1 Zn 3.19
10 Tl 0.8369 0.1348 0.7021  3 Zn 2.97-3.25, 3 Tl 3.08-3.30
11 Tl 0.9888 0.6318 0.3570  4 Tl 3.08-3.30, 1 Zn 3.19
12 Zn 0.3722 0.5000 0.8722  3 Zn 2.91-2.92, 6 Tl 3.19-3.25
13 Zn 0.5000 0.0000 0.5000  4 Zn 2.91, 4 Tl 2.97
14 Zn 0.6278 0.5000 0.1278  3 Zn 2.91-2.92, 6 Tl 3.19-3.25